i) VASP calculation (meta-GGA SCAN) on MgPdOF2 at its PBEsol-relaxed geometry.

```
5
Lattice="4.090 0.000 0.000 0.000 4.090 0.000 0.000 0.000 4.054" Properties=species:S:1:pos:R:3 pbc="T T T"
Mg 0.000 0.000 0.000
Pd 2.045 2.045 2.027
O 2.045 2.045 0.000
F 0.000 2.045 2.027
F 2.045 0.000 2.027
```

Values from the calculation:
crystal system = tetragonal
space group = P4/mmm (123)


ii) VASP calculation (meta-GGA SCAN) on MgPdOF2 at its PBEsol-relaxed geometry.

```
5
Lattice="3.651 0.000 0.000 0.000 3.651 0.000 0.000 0.000 4.252" Properties=species:S:1:pos:R:3 pbc="T T T"
Mg 0.000 0.000 0.000
Pd 1.825 1.825 2.126
O 0.000 0.000 2.126
F 0.000 1.825 0.000
F 1.825 0.000 0.000
```

Values from the calculation:
crystal system = tetragonal
space group = P4/mmm (123)


Quick look at relative energies in meV/atom: i) 594; ii) 0.


i) VASP calculation (meta-GGA SCAN) on Mg2PdF at its PBEsol-relaxed geometry.

```
8
Lattice="-3.090 3.090 3.230 3.090 -3.090 3.230 3.090 3.090 -3.230" Properties=species:S:1:pos:R:3 pbc="T T T"
Mg 1.545 1.117 -0.808
Mg 1.973 -1.545 4.038
Mg 1.545 1.973 2.423
Mg 1.117 4.635 0.808
Pd 3.090 0.000 1.615
Pd 0.000 0.000 3.230
F 0.000 0.000 0.000
F 0.000 3.090 1.615
```

Values from the calculation:
crystal system = tetragonal
space group = I-42d (122)


ii) VASP calculation (meta-GGA SCAN) on Mg2PdF at its PBEsol-relaxed geometry.

```
4
Lattice="0.000 3.145 3.145 3.145 0.000 3.145 3.145 3.145 0.000" Properties=species:S:1:pos:R:3 pbc="T T T"
Mg 1.573 1.573 1.573
Mg 4.718 4.718 4.718
Pd 0.000 0.000 0.000
F 3.145 3.145 3.145
```

Values from the calculation:
crystal system = cubic
space group = Fm-3m (225)


Quick look at relative energies in meV/atom: i) 0; ii) 446.


i) VASP calculation (meta-GGA SCAN) on RbMgF3 at its PBEsol-relaxed geometry.

```
5
Lattice="4.060 0.000 0.000 0.000 4.060 0.000 0.000 0.000 4.060" Properties=species:S:1:pos:R:3 pbc="T T T"
Rb 0.000 0.000 0.000
Mg 2.030 2.030 2.030
F 0.000 2.030 2.030
F 2.030 0.000 2.030
F 2.030 2.030 0.000
```

Values from the calculation:
crystal system = cubic
space group = Pm-3m (221)


ii) VASP calculation (meta-GGA SCAN) on RbMgF3 at its PBEsol-relaxed geometry.

```
30
Lattice="5.823 0.000 0.000 -2.912 5.043 0.000 0.000 0.000 14.223" Properties=species:S:1:pos:R:3 pbc="T T T"
Rb 0.000 0.000 3.556
Rb 0.000 0.000 10.667
Rb 0.000 3.362 1.390
Rb 0.000 3.362 5.721
Rb 2.912 1.681 8.502
Rb 2.912 1.681 12.833
Mg 0.000 0.000 0.000
Mg 0.000 0.000 7.111
Mg 0.000 3.362 9.281
Mg 0.000 3.362 12.053
Mg 2.912 1.681 2.170
Mg 2.912 1.681 4.941
F -1.287 2.619 10.667
F 0.000 1.672 8.248
F 0.000 1.672 13.086
F -1.464 4.207 8.248
F -1.464 4.207 13.086
F 1.448 0.836 1.137
F 1.448 0.836 5.975
F 1.287 2.619 10.667
F 0.000 4.848 10.667
F 2.912 0.195 3.556
F 1.625 2.424 3.556
F 1.464 4.207 8.248
F 1.464 4.207 13.086
F 4.376 0.836 1.137
F 4.376 0.836 5.975
F 2.912 3.372 1.137
F 2.912 3.372 5.975
F 4.199 2.424 3.556
```

Values from the calculation:
crystal system = hexagonal
space group = P6_3/mmc (194)


Quick look at relative energies in meV/atom: i) 0; ii) 7.


i) VASP calculation (meta-GGA SCAN) on SrMg2F at its PBEsol-relaxed geometry.

```
4
Lattice="0.000 3.811 3.811 3.811 0.000 3.811 3.811 3.811 0.000" Properties=species:S:1:pos:R:3 pbc="T T T"
Sr 0.000 0.000 0.000
Mg 1.905 1.905 1.905
Mg 5.716 5.716 5.716
F 3.811 3.811 3.811
```

Values from the calculation:
crystal system = cubic
space group = Fm-3m (225)


ii) VASP calculation (meta-GGA SCAN) on SrMg2F at its PBEsol-relaxed geometry.

```
8
Lattice="0.000 4.757 4.757 4.757 0.000 4.757 4.757 4.757 0.000" Properties=species:S:1:pos:R:3 pbc="T T T"
Sr 1.189 1.189 1.189
Sr 8.324 8.324 8.324
Mg 4.757 2.378 2.378
Mg 2.378 4.757 2.378
Mg 2.378 2.378 4.757
Mg 4.757 4.757 4.757
F 3.567 3.567 3.567
F 5.946 5.946 5.946
```

Values from the calculation:
crystal system = cubic
space group = Fd-3m (227)


Quick look at relative energies in meV/atom: i) 808; ii) 0.


i) VASP calculation (meta-GGA SCAN) on MnNiNF2 at its PBEsol-relaxed geometry.

```
5
Lattice="3.740 0.000 0.000 0.000 3.740 0.000 0.000 0.000 3.803" Properties=species:S:1:pos:R:3 pbc="T T T"
Mn 0.000 0.000 0.000
Ni 1.870 1.870 1.901
N 1.870 1.870 0.000
F 0.000 1.870 1.901
F 1.870 0.000 1.901
```

Values from the calculation:
crystal system = tetragonal
space group = P4/mmm (123)


ii) VASP calculation (meta-GGA SCAN) on MnNiNF2 at its PBEsol-relaxed geometry.

```
5
Lattice="3.876 0.000 0.000 0.000 3.876 0.000 0.000 0.000 3.602" Properties=species:S:1:pos:R:3 pbc="T T T"
Mn 0.000 0.000 0.000
Ni 1.938 1.938 1.801
N 0.000 0.000 1.801
F 0.000 1.938 0.000
F 1.938 0.000 0.000
```

Values from the calculation:
crystal system = tetragonal
space group = P4/mmm (123)


Quick look at relative energies in meV/atom: i) 0; ii) 119.


i) VASP calculation (meta-GGA SCAN) on MnNiOF2 at its PBEsol-relaxed geometry.

```
5
Lattice="3.872 0.000 0.000 0.000 3.872 0.000 0.000 0.000 3.773" Properties=species:S:1:pos:R:3 pbc="T T T"
Mn 0.000 0.000 0.000
Ni 1.936 1.936 1.886
O 0.000 0.000 1.886
F 0.000 1.936 0.000
F 1.936 0.000 0.000
```

Values from the calculation:
crystal system = tetragonal
space group = P4/mmm (123)


ii) VASP calculation (meta-GGA SCAN) on MnNiOF2 at its PBEsol-relaxed geometry.

```
5
Lattice="3.764 0.000 0.000 0.000 3.764 0.000 0.000 0.000 3.836" Properties=species:S:1:pos:R:3 pbc="T T T"
Mn 0.000 0.000 0.000
Ni 1.882 1.882 1.918
O 1.882 1.882 0.000
F 0.000 1.882 1.918
F 1.882 0.000 1.918
```

Values from the calculation:
crystal system = tetragonal
space group = P4/mmm (123)


Quick look at relative energies in meV/atom: i) 117; ii) 0.


i) VASP calculation (meta-GGA SCAN) on Mn6O5F7 at its PBEsol-relaxed geometry.

```
18
Lattice="4.634 0.000 0.000 0.000 9.251 0.000 -0.345 0.000 4.642" Properties=species:S:1:pos:R:3 pbc="T T T"
Mn 0.000 0.000 0.000
Mn -0.188 3.169 4.473
Mn -0.188 6.081 4.473
Mn 2.159 1.474 1.981
Mn 2.159 7.777 1.981
Mn 2.296 4.625 2.146
O 0.840 1.596 0.685
O 0.840 7.655 0.685
O 1.020 4.625 0.730
O 3.070 0.000 1.217
O 3.599 4.625 3.538
F 1.081 0.000 3.122
F 1.298 2.990 2.963
F 1.298 6.261 2.963
F 3.226 3.090 1.200
F 3.226 6.161 1.200
F 3.451 1.584 3.483
F 3.451 7.666 3.483
```

Values from the calculation:
crystal system = monoclinic
space group = Pm (6)


ii) VASP calculation (meta-GGA SCAN) on Mn6O5F7 at its PBEsol-relaxed geometry.

```
18
Lattice="4.617 -3.119 0.000 4.617 3.119 0.000 -3.476 0.000 7.043" Properties=species:S:1:pos:R:3 pbc="T T T"
Mn 0.000 0.000 0.000
Mn 0.123 0.210 5.800
Mn 1.940 0.208 2.352
Mn 3.817 0.208 4.692
Mn 5.634 0.210 1.244
Mn 2.879 -2.911 3.522
O 1.944 2.095 2.369
O 4.617 1.290 0.000
O 3.813 2.095 4.675
O 1.937 -1.678 2.374
O 3.820 -1.678 4.670
F 0.005 0.200 2.082
F 1.969 0.124 0.207
F 1.878 0.182 4.497
F 3.880 0.182 2.546
F 4.617 -1.143 0.000
F 3.789 0.124 6.837
F 5.753 0.200 4.962
```

Values from the calculation:
crystal system = monoclinic
space group = C2 (5)


Quick look at relative energies in meV/atom: i) 6; ii) 0.


i) VASP calculation (meta-GGA SCAN) on Mn6O5F7 at its PBEsol-relaxed geometry.

```
18
Lattice="9.091 0.000 0.000 0.000 3.554 3.118 0.000 -3.554 3.118" Properties=species:S:1:pos:R:3 pbc="T T T"
Mn 0.000 0.000 0.000
Mn 1.502 0.000 3.123
Mn 2.940 0.000 0.015
Mn 4.546 0.000 2.925
Mn 6.151 0.000 0.015
Mn 7.589 0.000 3.123
O 1.487 0.000 1.238
O 1.498 0.000 5.010
O 4.546 0.000 1.094
O 7.593 0.000 5.010
O 7.604 0.000 1.238
F 0.000 -1.360 3.123
F 0.000 1.360 3.123
F 3.048 -1.370 3.070
F 3.048 1.370 3.070
F 4.546 0.000 4.899
F 6.043 -1.370 3.070
F 6.043 1.370 3.070
```

Values from the calculation:
crystal system = orthorhombic
space group = Amm2 (38)


ii) VASP calculation (meta-GGA SCAN) on Mn6O5F7 at its PBEsol-relaxed geometry.

```
18
Lattice="4.496 -3.329 0.000 4.496 3.329 0.000 -2.615 0.000 6.676" Properties=species:S:1:pos:R:3 pbc="T T T"
Mn 0.000 0.000 0.000
Mn -1.216 0.000 3.305
Mn 0.633 0.000 5.682
Mn 2.407 0.000 2.230
Mn 4.141 0.000 4.344
Mn 5.670 0.000 1.106
O -1.217 0.000 5.290
O 3.263 1.273 3.291
O 3.676 0.000 0.883
O 3.263 -1.273 3.291
O 7.606 0.000 1.342
F 5.718 -2.083 1.175
F 0.684 2.082 5.467
F 0.850 0.000 3.576
F 5.718 2.083 1.175
F 2.685 0.000 5.772
F 0.684 -2.082 5.467
F 5.749 0.000 3.115
```

Values from the calculation:
crystal system = monoclinic
space group = Cm (8)


Quick look at relative energies in meV/atom: i) 0; ii) 39.


i) VASP calculation (meta-GGA SCAN) on Mn6O7F5 at its PBEsol-relaxed geometry.

```
18
Lattice="3.328 -3.133 0.000 3.328 3.133 0.000 -0.038 0.000 8.983" Properties=species:S:1:pos:R:3 pbc="T T T"
Mn 0.000 0.000 0.000
Mn 3.260 2.952 2.914
Mn 3.358 2.952 6.069
Mn 3.120 -0.192 7.413
Mn 3.309 -0.180 4.491
Mn 3.498 -0.192 1.569
O 1.203 -0.133 7.530
O 3.222 1.046 5.992
O 3.396 1.046 2.991
O 3.328 -1.284 0.000
O 3.226 -1.407 5.988
O 3.391 -1.407 2.995
O 5.415 -0.133 1.453
F 1.251 -0.179 4.396
F 1.474 -0.133 1.472
F 3.328 1.151 0.000
F 5.144 -0.133 7.511
F 5.366 -0.179 4.587
```

Values from the calculation:
crystal system = monoclinic
space group = C2 (5)


ii) VASP calculation (meta-GGA SCAN) on Mn6O7F5 at its PBEsol-relaxed geometry.

```
18
Lattice="8.713 0.000 0.000 0.000 3.065 3.531 0.000 -3.065 3.531" Properties=species:S:1:pos:R:3 pbc="T T T"
Mn 0.000 0.000 0.000
Mn 1.384 0.000 3.245
Mn 2.898 0.000 6.812
Mn 4.357 0.000 3.304
Mn 5.815 0.000 6.812
Mn 7.329 0.000 3.245
O 0.000 0.000 2.056
O 1.430 -1.860 3.340
O 1.430 1.860 3.340
O 4.357 -1.851 3.277
O 4.357 1.851 3.277
O 7.283 -1.860 3.340
O 7.283 1.860 3.340
F 0.000 0.000 4.652
F 2.800 0.000 4.622
F 2.827 0.000 1.935
F 5.886 0.000 1.935
F 5.913 0.000 4.622
```

Values from the calculation:
crystal system = orthorhombic
space group = Amm2 (38)


Quick look at relative energies in meV/atom: i) 6; ii) 0.


i) VASP calculation (meta-GGA SCAN) on Mn6O7F5 at its PBEsol-relaxed geometry.

```
36
Lattice="4.487 0.000 0.000 0.000 5.482 0.000 -0.153 0.000 15.042" Properties=species:S:1:pos:R:3 pbc="T T T"
Mn 0.000 0.741 0.000
Mn -0.076 4.741 7.521
Mn -0.023 0.850 4.992
Mn -0.099 4.632 12.513
Mn 2.113 1.928 12.385
Mn 2.190 3.554 4.864
Mn 2.310 1.808 7.384
Mn 2.234 3.674 14.905
Mn 2.529 1.952 2.368
Mn 2.453 3.530 9.889
Mn 4.363 0.792 10.081
Mn 4.439 4.691 2.560
O 0.882 0.664 11.686
O 0.959 4.818 4.165
O 0.941 0.644 6.634
O 0.864 4.839 14.155
O 3.174 2.120 5.727
O 3.098 3.362 13.248
O 3.205 2.082 10.775
O 3.282 3.400 3.254
O 3.333 2.128 0.734
O 3.256 3.354 8.255
O 3.468 0.597 8.420
O 3.544 4.885 0.899
O 3.539 0.688 3.304
O 3.462 4.794 10.825
F 0.982 2.070 14.122
F 1.058 3.412 6.602
F 1.225 0.644 1.702
F 1.149 4.839 9.223
F 1.156 2.065 9.116
F 1.232 3.417 1.596
F 1.233 2.096 3.929
F 1.157 3.386 11.450
F 3.168 0.634 13.339
F 3.244 4.849 5.818
```

Values from the calculation:
crystal system = monoclinic
space group = Pc (7)


ii) VASP calculation (meta-GGA SCAN) on Mn6O7F5 at its PBEsol-relaxed geometry.

```
18
Lattice="4.600 0.000 0.000 0.000 8.950 0.000 -0.330 0.000 4.590" Properties=species:S:1:pos:R:3 pbc="T T T"
Mn 0.000 0.000 0.000
Mn 0.120 2.907 0.135
Mn 0.120 6.043 0.135
Mn 2.103 1.564 2.593
Mn 2.103 7.386 2.593
Mn 2.238 4.475 2.436
O 0.617 1.429 3.882
O 0.617 7.522 3.882
O 1.363 2.978 1.581
O 1.363 5.972 1.581
O 2.922 0.000 3.350
O 3.039 2.991 3.379
O 3.039 5.959 3.379
F 0.736 4.475 3.845
F 1.246 0.000 1.559
F 3.615 1.384 1.080
F 3.615 7.566 1.080
F 3.789 4.475 1.005
```

Values from the calculation:
crystal system = monoclinic
space group = Pm (6)


Quick look at relative energies in meV/atom: i) 29; ii) 0.